Entry 1:
Below is crystalline KVTe2I at its relaxed geometry, with properties calculated at the GGA-PBE level.

Properties
**M_tot**: 1.1 μB per cell
**Energy relative to the lowest polymorph listed for this composition**: 1.451 eV per atom
**Final energy**: -2.604 eV/atom
**ΔE_f (raw)**: 97 kJ per mole of atoms
**Crystal system**: tetragonal

Cell: 6.1889 6.1889 6.1271 Å, 90.00 90.00 90.00°
With the nearest neighbours (Å) after each atom.
Positions (direct):
I  0.0000  0.0000  0.5000  2 K 3.06
K  0.0000  0.0000  0.0000  2 I 3.06, 4 Te 3.09
Te  0.0000  0.5000  0.0000  2 K 3.09
Te  0.5000  0.0000  0.0000  2 K 3.09
V  0.5000  0.5000  0.5000  8 Te 4.35, 4 I 4.38

***

Entry 2:
Below is crystalline KVTe2I at its relaxed geometry, with properties calculated at the GGA-PBE level.

Properties
**M_tot**: 1.5 μB per cell
**Energy relative to the lowest polymorph listed for this composition**: 0.000 eV per atom
**Final energy**: -4.056 eV/atom
**ΔE_f (raw)**: -43 kJ per mole of atoms
**Crystal system**: tetragonal

Cell: 5.2605 5.2605 6.1638 Å, 90.00 90.00 90.00°
With the nearest neighbours (Å) after each atom.
Positions (direct):
I  0.0000  0.0000  0.5000  2 V 3.08
K  0.5000  0.5000  0.5000  4 I 3.72, 8 Te 4.05
Te  0.0000  0.5000  0.0000  2 V 2.63
Te  0.5000  0.0000  0.0000  2 V 2.63
V  0.0000  0.0000  0.0000  4 Te 2.63

***

Entry 3:
Below is crystalline KTeWI2 at its relaxed geometry, with properties calculated at the GGA-PBE level.

Properties
**M_tot**: 1.8 μB per cell
**Energy relative to the lowest polymorph listed for this composition**: 1.798 eV per atom
**Final energy**: -2.283 eV/atom
**ΔE_f (raw)**: 171 kJ per mole of atoms
**Crystal system**: tetragonal

Cell: 6.1684 6.1684 6.3259 Å, 90.00 90.00 90.00°
With the nearest neighbours (Å) after each atom.
Positions (direct):
I  0.0000  0.5000  0.0000  2 K 3.08
I  0.5000  0.0000  0.0000  2 K 3.08
K  0.0000  0.0000  0.0000  4 I 3.08, 2 Te 3.16
Te  0.0000  0.0000  0.5000  2 K 3.16
W  0.5000  0.5000  0.5000  4 Te 4.36, 8 I 4.42

***

Entry 4:
Below is crystalline KTeWI2 at its relaxed geometry, with properties calculated at the GGA-PBE level.

Properties
**M_tot**: 2.7 μB per cell
**Energy relative to the lowest polymorph listed for this composition**: 0.000 eV per atom
**Final energy**: -4.081 eV/atom
**ΔE_f (raw)**: -2 kJ per mole of atoms
**Crystal system**: tetragonal

Cell: 5.9505 5.9505 5.2503 Å, 90.00 90.00 90.00°
With the nearest neighbours (Å) after each atom.
Positions (direct):
I  0.0000  0.5000  0.0000  2 W 2.98
I  0.5000  0.0000  0.0000  2 W 2.98
K  0.5000  0.5000  0.5000  8 I 3.97, 4 Te 4.21
Te  0.0000  0.0000  0.5000  2 W 2.63
W  0.0000  0.0000  0.0000  2 Te 2.63

***

Entry 5:
Below is crystalline KYTe2I at its relaxed geometry, with properties calculated at the GGA-PBE level.

Properties
**M_tot**: 0.0 μB per cell
**Energy relative to the lowest polymorph listed for this composition**: 1.216 eV per atom
**Final energy**: -2.899 eV/atom
**ΔE_f (raw)**: 17 kJ per mole of atoms
**Crystal system**: tetragonal

Cell: 5.9150 5.9150 5.8509 Å, 90.00 90.00 90.00°
With the nearest neighbours (Å) after each atom.
Positions (direct):
I  0.0000  0.0000  0.5000  2 K 2.93
Y  0.5000  0.5000  0.5000  8 Te 4.16, 4 I 4.18
K  0.0000  0.0000  0.0000  2 I 2.93, 4 Te 2.96
Te  0.0000  0.5000  0.0000  2 K 2.96
Te  0.5000  0.0000  0.0000  2 K 2.96

***

Entry 6:
Below is crystalline KYTe2I at its relaxed geometry, with properties calculated at the GGA-PBE level.

Properties
**M_tot**: 0.0 μB per cell
**Energy relative to the lowest polymorph listed for this composition**: 0.000 eV per atom
**Final energy**: -4.115 eV/atom
**ΔE_f (raw)**: -100 kJ per mole of atoms
**Crystal system**: tetragonal

Cell: 5.8988 5.8988 6.2184 Å, 90.00 90.00 90.00°
With the nearest neighbours (Å) after each atom.
Positions (direct):
I  0.0000  0.0000  0.5000  2 Y 3.11
Y  0.0000  0.0000  0.0000  4 Te 2.95, 2 I 3.11
K  0.5000  0.5000  0.5000  4 I 4.17, 8 Te 4.29
Te  0.0000  0.5000  0.0000  2 Y 2.95
Te  0.5000  0.0000  0.0000  2 Y 2.95

***

Entry 7:
Below is crystalline KZnTeI2 at its relaxed geometry, with properties calculated at the GGA-PBE level.

Properties
**M_tot**: 0.0 μB per cell
**Energy relative to the lowest polymorph listed for this composition**: 0.000 eV per atom
**Final energy**: -2.228 eV/atom
**ΔE_f (raw)**: -49 kJ per mole of atoms
**Crystal system**: tetragonal

Cell: 5.9204 5.9204 5.3185 Å, 90.00 90.00 90.00°
With the nearest neighbours (Å) after each atom.
Positions (direct):
I  0.0000  0.5000  0.0000  2 Zn 2.96
I  0.5000  0.0000  0.0000  2 Zn 2.96
Zn  0.0000  0.0000  0.0000  2 Te 2.66, 4 I 2.96
Te  0.0000  0.0000  0.5000  2 Zn 2.66
K  0.5000  0.5000  0.5000  8 I 3.98, 4 Te 4.19

***

Entry 8:
Below is crystalline KZnTeI2 at its relaxed geometry, with properties calculated at the GGA-PBE level.

Properties
**M_tot**: 3.1 μB per cell
**Energy relative to the lowest polymorph listed for this composition**: 0.768 eV per atom
**Final energy**: -1.461 eV/atom
**ΔE_f (raw)**: 25 kJ per mole of atoms
**Crystal system**: tetragonal

Cell: 6.6437 6.6437 6.8760 Å, 90.00 90.00 90.00°
With the nearest neighbours (Å) after each atom.
Positions (direct):
I  0.0000  0.5000  0.0000  2 K 3.32
I  0.5000  0.0000  0.0000  2 K 3.32
Zn  0.5000  0.5000  0.5000  4 Te 4.70, 8 I 4.78
Te  0.0000  0.0000  0.5000  2 K 3.44
K  0.0000  0.0000  0.0000  4 I 3.32, 2 Te 3.44

***

| no. | calculated volume (Å³ per atom) |
| --- | --- |
| 1 | 46.94 |
| 2 | 34.11 |
| 3 | 48.14 |
| 4 | 37.18 |
| 5 | 40.94 |
| 6 | 43.28 |
| 7 | 37.28 |
| 8 | 60.70 |